Material: LaZrBeRe2
Method: DFT, PBEsol
State: optimized geometry

Cell and atoms, written as CIF:
```
data_LaZrBeRe2
_symmetry_space_group_name_H-M 'P 1'
_symmetry_Int_Tables_number 1
_symmetry_space_group_name_Hall 'P 1'
_cell_length_a 4.7559
_cell_length_b 4.7559
_cell_length_c 4.9468
_cell_angle_alpha 90.00
_cell_angle_beta 90.00
_cell_angle_gamma 90.00
loop_
_atom_site_label
_atom_site_type_symbol
_atom_site_fract_x
_atom_site_fract_y
_atom_site_fract_z
La1 La 0.0000 0.0000 0.0000
Zr1 Zr 0.0000 0.0000 0.5000
Be1 Be 0.5000 0.5000 0.5000
Re1 Re 0.0000 0.5000 0.0000
Re2 Re 0.5000 0.0000 0.0000
```

Calculated values
- crystal system = tetragonal
- formation energy from the elements (eV/atom) = 2.61



Material: LaBe2Rh
Method: DFT, PBEsol
State: optimized geometry

Cell and atoms, written as CIF:
```
data_LaBe2Rh
_symmetry_space_group_name_H-M 'P 1'
_symmetry_Int_Tables_number 1
_symmetry_space_group_name_Hall 'P 1'
_cell_length_a 2.9887
_cell_length_b 2.9887
_cell_length_c 6.7839
_cell_angle_alpha 90.00
_cell_angle_beta 90.00
_cell_angle_gamma 90.00
loop_
_atom_site_label
_atom_site_type_symbol
_atom_site_fract_x
_atom_site_fract_y
_atom_site_fract_z
La1 La 0.0000 0.0000 0.0000
Be1 Be 0.0000 0.0000 0.4834
Be2 Be 0.5000 0.5000 0.6550
Rh1 Rh 0.5000 0.5000 0.3306
```

Calculated values
- crystal system = tetragonal
- formation energy from the elements (eV/atom) = -0.07



Material: La2BeRh
Method: DFT, PBEsol
State: optimized geometry

Cell and atoms, written as CIF:
```
data_La2BeRh
_symmetry_space_group_name_H-M 'P 1'
_symmetry_Int_Tables_number 1
_symmetry_space_group_name_Hall 'P 1'
_cell_length_a 6.0905
_cell_length_b 6.0905
_cell_length_c 6.0905
_cell_angle_alpha 146.04
_cell_angle_beta 136.98
_cell_angle_gamma 55.90
loop_
_atom_site_label
_atom_site_type_symbol
_atom_site_fract_x
_atom_site_fract_y
_atom_site_fract_z
La1 La 0.0000 0.0000 0.0000
La2 La 0.7048 0.2048 0.5000
Be1 Be 0.4081 0.4081 0.0000
Rh1 Rh 0.2782 0.7782 0.5000
```

Calculated values
- crystal system = orthorhombic
- formation energy from the elements (eV/atom) = -0.25